(one)
VASP calculation (PBE-GGA) on crystalline Be2NbCr2 at its relaxed geometry.

abc: 3.341 3.341 5.681
angles: 72.90 72.90 90.00
Element x y z (fractional)
Cr (0.750, 0.250, 0.500)
Cr (0.250, 0.750, 0.500)
Nb (0.000, 0.000, 0.000)
Be (0.405, 0.405, 0.191)
Be (0.595, 0.595, 0.809)

Properties
**Space-group type**: I4/mmm

***

(two)
VASP calculation (PBE-GGA) on crystalline Be2NbCr2 at its relaxed geometry.

abc: 3.789 3.789 5.057
angles: 68.00 68.00 90.00
Element x y z (fractional)
Cr (0.386, 0.386, 0.227)
Cr (0.614, 0.614, 0.773)
Nb (0.000, 0.000, 0.000)
Be (0.750, 0.250, 0.500)
Be (0.250, 0.750, 0.500)

Properties
**Space-group type**: I4/mmm

***

The winner here is (one), beating the second structure by 45.4 kJ/mol of atoms.